# 1
A plane-wave DFT calculation with GGA-PBE was carried out for a relaxed structure of BPH.

a b c (Å): 3.442 10.332 3.156
angles (deg): 90.00 90.00 90.00
Space group C222_1 (No. 20)
Inequivalent atoms, fractional coordinates:
B1 0.000 0.036 0.250 (multiplicity 4)
P1 0.000 0.224 0.250 (multiplicity 4)
H1 0.199 0.500 0.500 (multiplicity 4)

E above lowest polymorph = 0.275 eV/atom
calculated density = 2.53 g cm⁻³



# 2
A plane-wave DFT calculation with GGA-PBE was carried out for a relaxed structure of Rb2ZrCu2Te6.

a b c (Å): 13.405 6.565 9.921
angles (deg): 90.00 109.14 90.00
Space group C2/m (No. 12)
Inequivalent atoms, fractional coordinates:
Rb1 0.167 0.000 0.134 (multiplicity 4)
Zr1 0.000 0.000 0.500 (multiplicity 2)
Cu1 0.087 0.500 0.333 (multiplicity 4)
Te1 0.062 0.248 0.758 (multiplicity 8)
Te2 0.228 0.000 0.508 (multiplicity 4)

formation energy from raw total energies = -0.4635 eV/atom
calculated density = 4.65 g cm⁻³



# 3
A plane-wave DFT calculation with GGA-PBE was carried out for a relaxed structure of Ba2PrThO6.

a b c (Å): 6.387 6.458 11.092
angles (deg): 90.00 125.14 90.00
Space group P2_1/c (No. 14)
Inequivalent atoms, fractional coordinates:
Ba1 0.239 0.034 0.250 (multiplicity 4)
Pr1 0.000 0.000 0.500 (multiplicity 2)
Th1 0.500 0.000 0.000 (multiplicity 2)
O1 0.169 0.207 0.951 (multiplicity 4)
O2 0.242 0.718 0.949 (multiplicity 4)
O3 0.346 0.031 0.755 (multiplicity 4)

formation energy from raw total energies = -2.9756 eV/atom
calculated density = 6.60 g cm⁻³



# 4
A plane-wave DFT calculation with GGA-PBE was carried out for a relaxed structure of TaTiSeBr2.

a b c (Å): 5.144 5.144 5.053
angles (deg): 90.00 90.00 90.00
Space group P4/mmm (No. 123)
Inequivalent atoms, fractional coordinates:
Ta1 0.000 0.000 0.000 (multiplicity 1)
Ti1 0.500 0.500 0.500 (multiplicity 1)
Se1 0.000 0.000 0.500 (multiplicity 1)
Br1 0.000 0.500 0.000 (multiplicity 2)

formation energy from raw total energies = 0.3304 eV/atom
E above lowest polymorph = 0.000 eV/atom
calculated density = 5.81 g cm⁻³



# 5
A plane-wave DFT calculation with GGA-PBE was carried out for a relaxed structure of La3Si2PPt9.

a b c (Å): 6.6123 6.6123 8.1185
angles (deg): 90.00 90.00 120.00
Space group P-3m1 (No. 164)
Inequivalent atoms, fractional coordinates:
La1 0.0000 0.0000 0.0000 (multiplicity 1)
La2 0.3333 0.6667 0.6711 (multiplicity 2)
Si1 0.3333 0.6667 0.1942 (multiplicity 2)
P1 0.0000 0.0000 0.5000 (multiplicity 1)
Pt1 0.0000 0.5000 0.0000 (multiplicity 3)
Pt2 0.1448 0.2896 0.2956 (multiplicity 6)

formation energy from raw total energies = -0.8404 eV/atom
calculated density = 12.21 g cm⁻³



# 6
A plane-wave DFT calculation with GGA-PBE was carried out for a relaxed structure of Tb3DySc2.

a b c (Å): 14.323 9.678 5.447
angles (deg): 90.00 90.00 90.00
Space group Cmcm (No. 63)
Inequivalent atoms, fractional coordinates:
Tb1 0.000 0.094 0.250 (multiplicity 4)
Tb2 0.243 0.132 0.250 (multiplicity 8)
Dy1 0.000 0.277 0.750 (multiplicity 4)
Sc1 0.105 0.406 0.250 (multiplicity 8)

E above lowest polymorph = 0.141 eV/atom
energy of formation from the pure elements = 0.2925 eV per atom
calculated density = 6.42 g cm⁻³



# 7
A plane-wave DFT calculation with GGA-PBE was carried out for a relaxed structure of UNiB2.

a b c (Å): 3.4170 3.4170 13.7704
angles (deg): 90.00 90.00 120.00
Space group R-3m (No. 166, hexagonal axes)
Inequivalent atoms, fractional coordinates:
U1 0.0000 0.0000 0.0000 (multiplicity 3)
Ni1 0.0000 0.0000 0.5000 (multiplicity 3)
B1 0.0000 0.0000 0.2034 (multiplicity 6)

energy of formation from the pure elements = -0.1917 eV per atom
calculated density = 11.39 g cm⁻³



# 8
A plane-wave DFT calculation with GGA-PBE was carried out for a relaxed structure of KPu4Br8.

a b c (Å): 7.8248 7.8248 26.2703
angles (deg): 90.00 90.00 120.00
Space group R-3m (No. 166, hexagonal axes)
Inequivalent atoms, fractional coordinates:
K1 0.0000 0.0000 0.0000 (multiplicity 3)
Pu1 0.0000 0.0000 0.5000 (multiplicity 3)
Pu2 0.0000 0.5000 0.5000 (multiplicity 9)
Br1 0.0000 0.0000 0.2407 (multiplicity 6)
Br2 0.0020 0.5010 0.2417 (multiplicity 18)

formation energy from raw total energies = -1.4100 eV/atom
calculated density = 5.92 g cm⁻³



Q: What is the calculated density in the eighth record?
A: 5.92 g cm⁻³



Q: Which formula does entry 1 have?
A: BPH